1.
# RbAcOsO6

A relaxed RbAcOsO6 crystal (PBE-GGA, Alexandria via LeMat-Bulk).

```
RbAcOsO6
1.0
5.9752 0.0000 0.0000
-2.9876 5.1747 0.0000
0.0000 0.0000 5.9649
Rb Ac Os O
1 1 1 6
Cartesian
0.0000 0.0000 0.0000
0.0000 3.4498 2.9825
2.9876 1.7249 2.9825
2.2686 0.3602 4.0595
1.4463 1.7846 1.9054
3.7066 0.3602 1.9054
2.1653 3.0299 4.0595
4.5289 1.7846 4.0595
3.8100 3.0299 1.9054
```

Properties
- Space group: No. 149
- Total magnetization: 0.00 μB/cell
- Energy relative to the elements, uncorrected: -1759 meV per atom


2.
# AcOsRhO6

A relaxed AcOsRhO6 crystal (PBE-GGA, Alexandria via LeMat-Bulk).

```
AcOsRhO6
1.0
-3.3753 3.6003 5.0219
3.3753 -3.6003 5.0219
3.3753 3.6003 -5.0219
Ac Os Rh O
2 2 2 12
Cartesian
0.0000 1.8002 1.0950
3.3753 1.8002 3.9270
3.3753 0.0000 0.0000
0.0000 0.0000 5.0219
1.6877 1.8002 -2.5110
1.6877 -1.8002 2.5110
3.3753 -1.8002 3.7308
1.9968 -0.0822 1.3512
4.7538 -0.0822 1.3512
3.3753 1.8002 0.1919
1.9968 3.5181 -1.3512
1.3785 -0.0822 3.6707
1.9968 3.6826 1.3512
1.3785 0.0822 6.3732
0.0000 1.8002 4.8300
-1.3785 3.6826 3.6707
1.3785 3.6826 3.6707
0.0000 5.4005 1.2911
```

Properties
- Space group: No. 74
- Density of states at the Fermi level: 3.15 states/eV/f.u.
- Total magnetization: 0.00 μB/cell
- Energy relative to the elements, uncorrected: -1435 meV per atom


3.
# Ac2ScOsO8

A relaxed Ac2ScOsO8 crystal (PBE-GGA, Alexandria via LeMat-Bulk).

```
Ac2ScOsO8
1.0
5.5743 0.0000 0.0000
1.9471 5.6997 0.0000
1.2226 0.6915 6.2376
Ac Sc Os O
2 1 1 8
Cartesian
1.3560 0.5580 1.3768
7.3880 5.8333 4.8608
4.3720 3.1956 3.1188
3.7607 2.8499 0.0000
3.1632 4.7915 3.2412
3.7024 4.8998 6.2344
3.1104 2.2249 1.7029
3.8341 2.3330 5.2232
4.9099 4.0582 1.0144
5.6335 4.1663 4.5347
5.0416 1.4914 0.0032
5.5808 1.5997 2.9963
```

Properties
- Space group: No. 2
- Density of states at the Fermi level: 1.93 states/eV/f.u.
- Total magnetization: 1.05 μB/cell
- Energy relative to the elements, uncorrected: -2472 meV per atom


4.
# AcSc2OsO8

A relaxed AcSc2OsO8 crystal (PBE-GGA, Alexandria via LeMat-Bulk).

```
AcSc2OsO8
1.0
3.7625 -3.3394 0.0000
3.7625 3.3394 0.0000
-0.7620 0.0000 6.9584
Ac Sc Os O
1 2 1 8
Cartesian
0.0000 0.0000 0.0000
2.9290 0.0000 5.3874
3.8340 0.0000 1.5709
-0.3810 0.0000 3.4792
3.1828 1.9734 4.8641
3.5803 1.9734 2.0943
1.4151 0.0000 3.7567
2.4764 0.0000 0.0049
4.2866 0.0000 6.9535
5.3480 0.0000 3.2017
3.1828 -1.9734 4.8641
3.5803 -1.9734 2.0943
```

Properties
- Space group: No. 12
- Density of states at the Fermi level: 1.59 states/eV/f.u.
- Total magnetization: 1.00 μB/cell
- Energy relative to the elements, uncorrected: -2454 meV per atom


5.
# AcScOsO6

A relaxed AcScOsO6 crystal (PBE-GGA, Alexandria via LeMat-Bulk).

```
AcScOsO6
1.0
5.7037 0.0000 0.0000
-2.8519 4.9396 0.0000
0.0000 0.0000 8.5079
Ac Sc Os O
2 2 2 12
Cartesian
0.0000 3.2930 2.1270
2.8519 1.6465 6.3809
0.0000 0.0000 0.0000
0.0000 0.0000 4.2539
0.0000 3.2930 6.3809
2.8519 1.6465 2.1270
-0.5980 1.8156 5.2654
-1.5785 3.5139 7.4964
0.5980 1.8156 7.4964
-0.9805 4.5497 5.2654
1.8714 0.3899 1.0115
1.2734 1.4257 3.2424
1.5785 3.5139 5.2654
0.9805 4.5497 7.4964
3.8324 0.3899 3.2424
2.2538 3.1240 1.0115
4.4304 1.4257 1.0115
3.4499 3.1240 3.2424
```

Properties
- Space group: No. 163
- Density of states at the Fermi level: 4.60 states/eV/f.u.
- Total magnetization: 2.29 μB/cell
- Energy relative to the elements, uncorrected: -2228 meV per atom


6.
# Ac3OsSe2O6

A relaxed Ac3OsSe2O6 crystal (PBE-GGA, Alexandria via LeMat-Bulk).

```
Ac3OsSe2O6
1.0
6.5550 -3.5463 0.0000
6.5550 3.5463 0.0000
-0.4098 0.0000 5.2825
Ac Os Se O
3 1 2 6
Cartesian
0.0000 0.0000 0.0000
3.0726 1.7732 2.6412
3.0726 -1.7732 2.6412
6.3501 0.0000 2.6412
2.4852 0.0000 4.9948
10.2149 0.0000 0.2876
5.6191 1.4404 3.7280
7.0810 1.4404 1.5544
4.6123 0.0000 1.8410
8.0878 0.0000 3.4415
5.6191 -1.4404 3.7280
7.0810 -1.4404 1.5544
```

Properties
- Space group: No. 12
- Density of states at the Fermi level: 4.34 states/eV/f.u.
- Total magnetization: 0.86 μB/cell
- Energy relative to the elements, uncorrected: -1812 meV per atom


7.
# AcSmOsO6

A relaxed AcSmOsO6 crystal (PBE-GGA, Alexandria via LeMat-Bulk).

```
AcSmOsO6
1.0
5.6787 0.0000 0.0000
-2.8394 4.9179 0.0000
0.0000 0.0000 10.3479
Ac Sm Os O
2 2 2 12
Cartesian
0.0000 0.0000 0.0000
0.0000 0.0000 5.1739
0.0000 3.2786 2.5870
2.8394 1.6393 7.7609
0.0000 3.2786 7.7609
2.8394 1.6393 2.5870
-0.8148 1.8966 6.6489
-1.6043 3.2640 8.8730
0.8148 1.8966 8.8730
-0.7895 4.6752 6.6489
2.0499 0.2427 1.4749
1.2351 1.6539 3.6990
1.6042 3.2640 6.6489
0.7894 4.6752 8.8730
3.6288 0.2427 3.6990
2.0245 3.0213 1.4749
4.4436 1.6539 1.4749
3.6542 3.0213 3.6990
```

Properties
- Space group: No. 163
- Density of states at the Fermi level: 5.75 states/eV/f.u.
- Total magnetization: 4.01 μB/cell
- Energy relative to the elements, uncorrected: -2334 meV per atom


8.
# AcSm2OsO8

A relaxed AcSm2OsO8 crystal (PBE-GGA, Alexandria via LeMat-Bulk).

```
AcSm2OsO8
1.0
3.6354 -3.7174 0.0000
3.6354 3.7174 0.0000
0.0000 0.0000 7.1327
Ac Sm Os O
1 2 1 8
Cartesian
0.0000 0.0000 0.0000
3.6354 0.0000 1.7851
3.6354 0.0000 5.3476
0.0000 0.0000 3.5664
1.3381 0.0000 2.1738
1.3381 0.0000 4.9589
3.6354 1.8346 3.5664
3.6354 1.3390 0.0000
3.6354 -1.3390 0.0000
3.6354 -1.8346 3.5664
5.9326 0.0000 2.1738
5.9326 0.0000 4.9589
```

Properties
- Space group: No. 65
- Density of states at the Fermi level: 4.19 states/eV/f.u.
- Total magnetization: 1.05 μB/cell
- Energy relative to the elements, uncorrected: -2451 meV per atom


9.
# SrAcOs2O8

A relaxed SrAcOs2O8 crystal (PBE-GGA, Alexandria via LeMat-Bulk).

```
SrAcOs2O8
1.0
6.0340 0.0000 0.0000
-3.0170 5.2256 0.0000
0.0000 0.0000 7.5563
Sr Ac Os O
1 1 2 8
Cartesian
0.0000 0.0000 0.0000
0.0000 0.0000 3.7781
0.0000 3.4837 6.1722
3.0170 1.7419 1.3841
0.0000 1.7407 5.5425
-1.5095 4.3552 5.5425
1.5075 0.8704 2.0138
0.0000 3.4837 0.4012
3.0170 1.7419 7.1551
1.5095 4.3552 5.5425
4.5265 0.8704 2.0138
3.0170 3.4849 2.0138
```

Properties
- Space group: No. 164
- Density of states at the Fermi level: 6.54 states/eV/f.u.
- Total magnetization: 3.01 μB/cell
- Energy relative to the elements, uncorrected: -1635 meV per atom


10.
# SrAcOsO6

A relaxed SrAcOsO6 crystal (PBE-GGA, Alexandria via LeMat-Bulk).

```
SrAcOsO6
1.0
5.9538 0.0000 0.0000
-2.9769 5.1561 0.0000
0.0000 0.0000 9.5802
Sr Ac Os O
2 2 2 12
Cartesian
0.0000 0.0000 0.0000
0.0000 0.0000 4.7901
0.0000 3.4374 2.3951
2.9769 1.7187 7.1852
0.0000 3.4374 7.1852
2.9769 1.7187 2.3951
-0.7702 2.0514 6.1131
-1.5854 3.4634 8.2572
0.7702 2.0514 8.2572
-0.8153 4.7974 6.1131
2.1616 0.3587 1.3230
1.3914 1.6927 3.4671
1.5854 3.4634 6.1131
0.8153 4.7974 8.2572
3.7921 0.3587 3.4671
2.2067 3.1048 1.3230
4.5623 1.6927 1.3230
3.7471 3.1048 3.4671
```

Properties
- Space group: No. 163
- Density of states at the Fermi level: 4.91 states/eV/f.u.
- Total magnetization: 2.08 μB/cell
- Energy relative to the elements, uncorrected: -2096 meV per atom


11.
# Sr2AcOsO8

A relaxed Sr2AcOsO8 crystal (PBE-GGA, Alexandria via LeMat-Bulk).

```
Sr2AcOsO8
1.0
3.7204 -3.8082 0.0000
3.7204 3.8082 0.0000
0.0000 0.0000 7.2702
Sr Ac Os O
2 1 1 8
Cartesian
0.0000 0.0000 1.7119
0.0000 0.0000 5.5584
3.7204 0.0000 3.6351
3.7204 0.0000 0.0000
1.4754 0.0000 3.6351
1.8668 0.0000 0.0000
3.7204 1.2991 1.3737
3.7204 1.2991 5.8965
3.7204 -1.2991 1.3737
3.7204 -1.2991 5.8965
5.5741 0.0000 0.0000
5.9655 0.0000 3.6351
```

Properties
- Space group: No. 65
- Density of states at the Fermi level: 4.05 states/eV/f.u.
- Total magnetization: 0.92 μB/cell
- Energy relative to the elements, uncorrected: -1992 meV per atom


12.
# SrAc2OsO8

A relaxed SrAc2OsO8 crystal (PBE-GGA, Alexandria via LeMat-Bulk).

```
SrAc2OsO8
1.0
3.7941 -3.8172 0.0000
3.7941 3.8172 0.0000
-0.0047 0.0000 7.4186
Sr Ac Os O
1 2 1 8
Cartesian
0.0000 0.0000 0.0000
3.7857 0.0000 5.5587
3.7978 0.0000 1.8598
-0.0024 0.0000 3.7093
3.7851 2.5102 2.3540
3.7984 2.5102 5.0645
1.8749 0.0000 3.7031
2.3889 0.0000 0.0030
5.1946 0.0000 7.4155
5.7086 0.0000 3.7155
3.7851 -2.5102 2.3540
3.7984 -2.5102 5.0645
```

Properties
- Space group: No. 12
- Total magnetization: 0.00 μB/cell
- Energy relative to the elements, uncorrected: -2237 meV per atom


13.
# Ac2TbOsO8

A relaxed Ac2TbOsO8 crystal (PBE-GGA, Alexandria via LeMat-Bulk).

```
Ac2TbOsO8
1.0
4.9665 0.0000 0.0000
-0.2088 5.4577 0.0000
-0.1725 -0.0624 7.1427
Ac Tb Os O
2 1 1 8
Cartesian
0.2711 0.1557 1.8304
4.3141 5.2396 5.3123
2.3789 2.7288 0.0000
2.2926 2.6976 3.5713
0.6402 1.1289 6.9631
0.8184 1.6351 3.8251
1.4621 3.5794 2.0434
1.6653 3.9442 4.9971
2.9199 1.4511 2.1456
3.1231 1.8159 5.0993
3.7668 3.7602 3.3176
3.9450 4.2664 0.1796
```

Properties
- Space group: No. 2
- Density of states at the Fermi level: 0.94 states/eV/f.u.
- Total magnetization: 1.03 μB/cell
- Energy relative to the elements, uncorrected: -2414 meV per atom


14.
# AcTb2OsO8

A relaxed AcTb2OsO8 crystal (PBE-GGA, Alexandria via LeMat-Bulk).

```
AcTb2OsO8
1.0
3.5828 -3.6773 0.0000
3.5828 3.6773 0.0000
0.0000 0.0000 7.0623
Ac Tb Os O
1 2 1 8
Cartesian
0.0000 0.0000 0.0000
3.5828 0.0000 1.7556
3.5828 0.0000 5.3067
0.0000 0.0000 3.5311
1.3419 0.0000 2.1501
1.3419 0.0000 4.9121
3.5828 1.7849 3.5311
3.5828 1.3066 0.0000
3.5828 -1.3066 0.0000
3.5828 -1.7849 3.5311
5.8237 0.0000 2.1501
5.8237 0.0000 4.9121
```

Properties
- Space group: No. 65
- Density of states at the Fermi level: 4.27 states/eV/f.u.
- Total magnetization: 1.05 μB/cell
- Energy relative to the elements, uncorrected: -2493 meV per atom


15.
# AcTbOsO6

A relaxed AcTbOsO6 crystal (PBE-GGA, Alexandria via LeMat-Bulk).

```
AcTbOsO6
1.0
5.6027 0.0000 0.0000
-2.8013 4.8520 0.0000
0.0000 0.0000 10.4521
Ac Tb Os O
2 2 2 12
Cartesian
0.0000 0.0000 0.0000
0.0000 0.0000 5.2261
0.0000 3.2347 2.6130
2.8013 1.6173 7.8391
0.0000 3.2347 7.8391
2.8013 1.6173 2.6130
-0.8346 1.8654 6.7272
-1.6032 3.1966 8.9510
0.8346 1.8654 8.9510
-0.7686 4.6421 6.7272
2.0328 0.2099 1.5012
1.1982 1.6555 3.7249
1.6032 3.1966 6.7272
0.7686 4.6421 8.9510
3.5699 0.2099 3.7249
1.9667 2.9867 1.5012
4.4045 1.6555 1.5012
3.6359 2.9867 3.7249
```

Properties
- Space group: No. 163
- Density of states at the Fermi level: 5.83 states/eV/f.u.
- Total magnetization: 4.00 μB/cell
- Energy relative to the elements, uncorrected: -2375 meV per atom


16.
# AcTc2OsO8

A relaxed AcTc2OsO8 crystal (PBE-GGA, Alexandria via LeMat-Bulk).

```
AcTc2OsO8
1.0
3.4440 -3.5589 0.0000
3.4440 3.5589 0.0000
0.0000 0.0000 6.2777
Ac Tc Os O
1 2 1 8
Cartesian
0.0000 0.0000 0.0000
3.4440 0.0000 1.7182
3.4440 0.0000 4.5595
0.0000 0.0000 3.1389
1.5272 0.0000 1.8706
1.5272 0.0000 4.4071
3.4440 1.5286 3.1389
3.4440 1.1419 0.0000
3.4440 -1.1419 0.0000
3.4440 -1.5286 3.1389
5.3607 0.0000 1.8706
5.3607 0.0000 4.4071
```

Properties
- Space group: No. 65
- Density of states at the Fermi level: 6.48 states/eV/f.u.
- Total magnetization: 0.38 μB/cell
- Energy relative to the elements, uncorrected: -1594 meV per atom


17.
# AcTiOsO6

A relaxed AcTiOsO6 crystal (PBE-GGA, Alexandria via LeMat-Bulk).

```
AcTiOsO6
1.0
5.2515 0.0000 0.0000
-2.6257 4.5479 0.0000
0.0000 0.0000 10.7630
Ac Ti Os O
2 2 2 12
Cartesian
0.0000 0.0000 0.0000
0.0000 0.0000 5.3815
0.0000 3.0319 2.6908
2.6257 1.5160 8.0723
0.0000 3.0319 8.0723
2.6257 1.5160 2.6908
4.2649 1.7069 1.5897
-0.9850 1.7078 6.9712
3.6107 2.8401 3.7918
-1.6392 2.8410 9.1733
-0.6542 4.5470 6.9712
0.9850 1.7078 9.1733
1.9715 0.0009 1.5897
0.9866 1.7069 3.7918
0.6542 4.5470 9.1733
1.6392 2.8410 6.9712
3.2799 0.0009 3.7918
1.6408 2.8401 1.5897
```

Properties
- Space group: No. 163
- Total magnetization: 6.00 μB/cell
- Energy relative to the elements, uncorrected: -2388 meV per atom


18.
# Ac2TlOsO8

A relaxed Ac2TlOsO8 crystal (PBE-GGA, Alexandria via LeMat-Bulk).

```
Ac2TlOsO8
1.0
4.7596 0.0000 0.0000
-0.3589 5.1873 0.0000
-0.5805 -0.1921 7.7033
Ac Tl Os O
2 1 1 8
Cartesian
0.3459 0.0559 2.0616
3.4743 4.9393 5.6417
2.2003 2.5937 0.0000
1.9101 2.4976 3.8516
0.5164 1.3654 4.2532
0.4052 0.7797 7.5055
1.0329 2.9550 2.1609
1.0775 3.9467 4.8360
2.7427 1.0485 2.8673
2.7874 2.0402 5.5424
3.4150 4.2155 0.1978
3.3038 3.6299 3.4501
```

Properties
- Space group: No. 2
- Density of states at the Fermi level: 2.68 states/eV/f.u.
- Total magnetization: 1.05 μB/cell
- Energy relative to the elements, uncorrected: -1904 meV per atom


19.
# Ac2Tl2OsO6

A relaxed Ac2Tl2OsO6 crystal (PBE-GGA, Alexandria via LeMat-Bulk).

```
Ac2Tl2OsO6
1.0
3.1067 -5.4608 0.0000
3.1067 5.4608 0.0000
-0.3445 0.0000 7.1873
Ac Tl Os O
2 2 1 6
Cartesian
3.1067 3.6642 0.0000
3.1067 -3.6642 0.0000
2.9344 1.5720 3.5937
2.9344 -1.5720 3.5937
3.1067 0.0000 0.0000
1.9195 1.5188 6.1379
1.3836 0.0000 1.0559
1.9195 -1.5188 6.1379
3.9493 1.5188 1.0494
4.4852 0.0000 6.1314
3.9493 -1.5188 1.0494
```

Properties
- Space group: No. 12
- Density of states at the Fermi level: 2.94 states/eV/f.u.
- Total magnetization: 2.35 μB/cell
- Energy relative to the elements, uncorrected: -1743 meV per atom